(1)
A relaxed structure of BiSN. Source: Alexandria, functional GGA-PBE.

Output
* total magnetization: 0.0 μB per cell
* energy relative to the lowest polymorph listed for this composition: 12.33 kcal/mol of atoms
* formation energy (no corrections): 425 meV per atom
* symmetry: No. 160

extended XYZ file:
```
9
Lattice="4.0218 0.0000 0.0000 -2.0109 3.4830 0.0000 0.0000 0.0000 13.1634" Properties=species:S:1:pos:R:3 pbc="T T T"
N 0.0000 0.0000 1.9321
N 2.0109 1.1610 6.3199
N 0.0000 2.3220 10.7077
S 0.0000 0.0000 3.6367
S 2.0109 1.1610 8.0245
S 0.0000 2.3220 12.4123
Bi 0.0000 2.3220 5.3727
Bi 0.0000 0.0000 9.7605
Bi 2.0109 1.1610 0.9849
```


(2)
A relaxed structure of RbCd3S. Source: Alexandria, functional GGA-PBE.

Output
* total magnetization: 0.0 μB per cell
* energy relative to the lowest polymorph listed for this composition: 0.00 kcal/mol of atoms
* formation energy (no corrections): 144 meV per atom
* symmetry: No. 221

extended XYZ file:
```
5
Lattice="-3.9814 1.3217 3.7068 -2.8685 -4.5846 -1.4463 2.6942 -2.9280 3.9378" Properties=species:S:1:pos:R:3 pbc="T T T"
Cd -1.4343 -2.2923 -0.7232
Cd 1.3471 -1.4640 1.9689
Cd -1.9907 0.6609 1.8534
Rb -2.0778 -3.0955 3.0992
S 0.0000 0.0000 0.0000
```


(3)
A relaxed structure of Zr2AgCl. Source: Alexandria, functional GGA-PBE.

Output
* total magnetization: 0.0 μB per cell
* energy relative to the lowest polymorph listed for this composition: 16.38 kcal/mol of atoms
* formation energy (no corrections): 211 meV per atom
* symmetry: No. 122

extended XYZ file:
```
8
Lattice="4.4353 0.0000 0.0000 0.0000 4.4353 0.0000 2.2177 2.2177 9.3383" Properties=species:S:1:pos:R:3 pbc="T T T"
Cl 2.2177 4.4353 4.6691
Cl 2.2177 2.2177 0.0000
Ag 0.0000 0.0000 0.0000
Ag 4.4353 2.2177 4.6691
Zr 3.3265 3.3896 7.0037
Zr 5.5441 5.4811 7.0037
Zr 1.1719 3.3265 2.3346
Zr 3.2634 1.1088 2.3346
```


(4)
A relaxed structure of CsK2Br. Source: Alexandria, functional GGA-PBE.

Output
* total magnetization: 0.0 μB per cell
* energy relative to the lowest polymorph listed for this composition: 0.46 kcal/mol of atoms
* formation energy (no corrections): -778 meV per atom
* symmetry: No. 166

extended XYZ file:
```
4
Lattice="-1.3871 -2.8190 -3.6780 -3.1620 -3.5816 0.7567 -11.4745 6.1155 -3.5407" Properties=species:S:1:pos:R:3 pbc="T T T"
Cs 0.0000 0.0000 0.0000
K -7.9541 3.1992 -2.6332
K -8.0695 -3.4845 -3.8287
Br -8.0118 -0.1426 -3.2310
```


Question: Look up the energy relative to the lowest polymorph listed for this composition of the fourth one.
Answer: 0.46 kcal/mol of atoms